[1]
Density functional theory data (PBE-GGA) for crystalline Tm2BeZn2Ni5 at its relaxed geometry.

- Energy: -4.6403 eV per atom
- Calculated density: 8.94 g cm⁻³

Unit cell a=3.304 b=9.313 c=9.313 alpha=90.00 beta=90.00 gamma=90.00
Positions (direct):
Ni 0.500 0.000 0.500
Ni 0.500 0.687 0.446
Ni 0.500 0.446 0.313
Ni 0.500 0.500 0.000
Ni 0.500 0.813 0.946
Ni 0.500 0.313 0.554
Ni 0.500 0.554 0.687
Ni 0.500 0.946 0.187
Ni 0.500 0.187 0.054
Ni 0.500 0.054 0.813
Zn 0.000 0.128 0.628
Zn 0.000 0.872 0.372
Zn 0.000 0.372 0.128
Zn 0.000 0.628 0.872
Be 0.000 0.000 0.000
Be 0.000 0.500 0.500
Tm 0.000 0.327 0.827
Tm 0.000 0.827 0.673
Tm 0.000 0.173 0.327
Tm 0.000 0.673 0.173

=====

[2]
Density functional theory data (PBE-GGA) for crystalline Tm2BeZn12Ni3 at its relaxed geometry.

- Energy: -2.4925 eV per atom
- Calculated density: 7.33 g cm⁻³

Unit cell a=11.716 b=11.716 c=11.716 alpha=27.19 beta=27.19 gamma=27.19
Positions (direct):
Zn 0.387 0.887 0.887
Zn 0.603 0.135 0.603
Zn 0.113 0.613 0.113
Zn 0.887 0.887 0.387
Zn 0.887 0.387 0.887
Zn 0.613 0.113 0.113
Zn 0.603 0.603 0.135
Zn 0.113 0.113 0.613
Zn 0.397 0.865 0.397
Zn 0.865 0.397 0.397
Zn 0.135 0.603 0.603
Zn 0.397 0.397 0.865
Tm 0.641 0.641 0.641
Tm 0.359 0.359 0.359
Ni 0.500 0.000 0.000
Ni 0.000 0.000 0.500
Ni 0.000 0.500 0.000
Be 0.000 0.000 0.000

=====

[3]
Density functional theory data (PBE-GGA) for crystalline TmBeZn6Ni at its relaxed geometry.

- Energy: -2.3442 eV per atom
- Calculated density: 7.16 g cm⁻³

Unit cell a=6.606 b=8.299 c=7.512 alpha=123.53 beta=116.08 gamma=90.00
Positions (direct):
Tm 0.702 0.452 0.403
Tm 0.298 0.548 0.597
Be 0.500 0.500 0.000
Be 0.500 0.000 0.000
Ni 0.000 0.000 0.500
Ni 0.500 0.000 0.500
Zn 0.076 0.877 0.750
Zn 0.327 0.123 0.250
Zn 0.924 0.627 0.250
Zn 0.076 0.373 0.750
Zn 0.990 0.240 0.981
Zn 0.010 0.760 0.019
Zn 0.673 0.877 0.750
Zn 0.924 0.123 0.250
Zn 0.418 0.168 0.835
Zn 0.582 0.832 0.165
Zn 0.327 0.627 0.250
Zn 0.673 0.373 0.750

=====

Number 1: calculated volume 286.5 Å³ per cell. Number 2: calculated volume 296.2 Å³ per cell. Number 3: calculated volume 291.7 Å³ per cell.